(1)
! Nd5Dy3S8, optimized geometry, DFT PBE; values from VASP
! **Calculated volume**: 22.81 Å³ per atom
! **Density of states at the Fermi level**: 7.97 states/eV/f.u.
&SYSTEM
  ibrav = 0, nat = 16, ntyp = 3
/
ATOMIC_SPECIES
Nd 144.24 Nd.upf
Dy 162.50 Dy.upf
S 32.06 S.upf
CELL_PARAMETERS angstrom
3.998 2.308 6.592
-3.998 2.308 6.592
0.000 -4.616 6.592
ATOMIC_POSITIONS angstrom
Nd 0.000 0.000 0.000
Nd -1.999 -1.154 6.592
Nd -1.999 1.154 13.183
Nd 0.000 2.308 6.592
Nd 0.000 0.000 9.888
Dy -3.998 0.000 9.888
Dy -1.999 1.154 3.296
Dy 1.999 1.154 3.296
S -2.043 -1.180 11.460
S 0.000 0.000 4.835
S 0.000 -2.359 8.315
S -2.043 1.180 8.315
S 2.043 -1.180 11.460
S 0.000 2.359 11.460
S 0.000 0.000 14.940
S 2.043 1.180 8.315

=====

(2)
! Nd2DyS4, optimized geometry, DFT PBE; values from VASP
! **Calculated volume**: 25.95 Å³ per atom
! **Polymorph energy (0 for the lowest one)**: 0.000 eV per formula unit
! **Density of states at the Fermi level**: 1.94 states/eV/f.u.
&SYSTEM
  ibrav = 0, nat = 14, ntyp = 3
/
ATOMIC_SPECIES
Nd 144.24 Nd.upf
Dy 162.50 Dy.upf
S 32.06 S.upf
CELL_PARAMETERS angstrom
-3.994 4.061 5.599
3.994 -4.061 5.599
3.994 4.061 -5.599
ATOMIC_POSITIONS angstrom
Nd 0.000 0.000 0.000
Nd -1.997 2.030 2.799
Nd 0.000 4.061 0.000
Nd 1.997 2.030 2.799
Dy 1.997 2.030 -2.799
Dy 1.997 -2.030 2.799
S 3.994 -0.071 2.754
S 3.994 3.990 -2.754
S 1.961 2.030 -0.050
S 2.033 -2.030 5.549
S 1.961 6.091 0.050
S 2.033 2.030 5.649
S 0.000 0.071 8.353
S 0.000 4.132 2.845

=====

(3)
! Nd3DyS4, optimized geometry, DFT PBE; values from VASP
! **Calculated volume**: 23.13 Å³ per atom
! **Polymorph energy (0 for the lowest one)**: 0.000 eV per formula unit
! **Density of states at the Fermi level**: 3.62 states/eV/f.u.
&SYSTEM
  ibrav = 0, nat = 16, ntyp = 3
/
ATOMIC_SPECIES
Nd 144.24 Nd.upf
Dy 162.50 Dy.upf
S 32.06 S.upf
CELL_PARAMETERS angstrom
7.021 0.000 0.000
0.000 8.001 0.000
-2.316 0.000 6.588
ATOMIC_POSITIONS angstrom
Nd -0.579 0.986 1.647
Nd -1.737 2.991 4.941
Nd -0.579 5.010 1.647
Nd -1.737 7.016 4.941
Nd 1.774 0.992 4.941
Nd 2.932 7.010 1.647
Dy 2.932 2.991 1.647
Dy 1.774 5.010 4.941
S 1.782 1.048 0.037
S 0.624 6.954 3.331
S 0.672 3.044 3.292
S -0.486 4.957 6.586
S 5.191 3.044 0.002
S 4.033 4.957 3.296
S 4.081 1.048 3.256
S 2.924 6.954 6.550

=====

(4)
! Nd3Dy4S8, optimized geometry, DFT PBE; values from VASP
! **Calculated volume**: 23.75 Å³ per atom
! **Density of states at the Fermi level**: 6.68 states/eV/f.u.
&SYSTEM
  ibrav = 0, nat = 15, ntyp = 3
/
ATOMIC_SPECIES
Nd 144.24 Nd.upf
Dy 162.50 Dy.upf
S 32.06 S.upf
CELL_PARAMETERS angstrom
5.624 -5.627 0.000
5.624 5.627 0.000
-5.586 0.000 5.630
ATOMIC_POSITIONS angstrom
Nd 0.000 0.000 0.000
Nd 2.812 2.813 0.000
Nd 2.812 -2.813 0.000
Dy 0.019 2.813 2.815
Dy 0.019 -2.813 2.815
Dy 5.624 0.000 0.000
Dy 2.831 0.000 2.815
S 2.831 2.776 2.815
S 5.624 2.758 0.000
S 0.049 0.000 2.868
S 2.868 0.000 0.045
S 2.793 0.000 5.585
S 5.612 0.000 2.762
S 5.624 -2.758 0.000
S 2.831 -2.776 2.815

=====

(5)
! NdDyS2, optimized geometry, DFT PBE; values from VASP
! **Calculated volume**: 22.42 Å³ per atom
! **Polymorph energy (0 for the lowest one)**: 0.000 eV per formula unit
! **Density of states at the Fermi level**: 1.50 states/eV/f.u.
&SYSTEM
  ibrav = 0, nat = 8, ntyp = 3
/
ATOMIC_SPECIES
Nd 144.24 Nd.upf
Dy 162.50 Dy.upf
S 32.06 S.upf
CELL_PARAMETERS angstrom
6.862 0.000 0.000
0.000 3.975 0.000
-2.299 0.000 6.578
ATOMIC_POSITIONS angstrom
Nd 0.000 0.000 0.000
Nd 3.431 1.987 0.000
Dy -1.150 1.987 3.289
Dy 2.281 0.000 3.289
S -0.008 0.000 4.828
S 1.140 1.987 1.750
S 3.423 1.987 4.828
S 4.570 0.000 1.750

=====

(6)
! Nd3DyS, optimized geometry, DFT PBE; values from VASP
! **Calculated volume**: 33.19 Å³ per atom
! **Density of states at the Fermi level**: 5.45 states/eV/f.u.
&SYSTEM
  ibrav = 0, nat = 5, ntyp = 3
/
ATOMIC_SPECIES
Nd 144.24 Nd.upf
Dy 162.50 Dy.upf
S 32.06 S.upf
CELL_PARAMETERS angstrom
5.495 0.000 0.000
0.000 5.495 0.000
0.000 0.000 5.495
ATOMIC_POSITIONS angstrom
Nd 0.000 0.000 2.748
Nd 0.000 2.748 0.000
Nd 2.748 0.000 0.000
Dy 2.748 2.748 2.748
S 0.000 0.000 0.000

=====

(7)
! Nd4DyS6, optimized geometry, DFT PBE; values from VASP
! **Calculated volume**: 24.40 Å³ per atom
! **Density of states at the Fermi level**: 2.49 states/eV/f.u.
&SYSTEM
  ibrav = 0, nat = 22, ntyp = 3
/
ATOMIC_SPECIES
Nd 144.24 Nd.upf
Dy 162.50 Dy.upf
S 32.06 S.upf
CELL_PARAMETERS angstrom
1.963 -6.698 0.000
1.963 6.698 0.000
0.000 0.000 20.406
ATOMIC_POSITIONS angstrom
Nd 1.963 5.493 12.863
Nd 1.963 5.493 17.746
Nd 1.963 1.876 11.036
Nd 1.963 1.876 19.573
Nd 1.963 -1.876 0.833
Nd 1.963 -1.876 9.370
Nd 1.963 -5.493 2.660
Nd 1.963 -5.493 7.543
Dy 1.963 4.653 5.102
Dy 1.963 -4.653 15.305
S 0.000 0.000 0.000
S 0.000 0.000 10.203
S 1.963 3.995 15.305
S 1.963 3.065 1.849
S 1.963 3.065 8.354
S 1.963 0.742 13.685
S 1.963 0.742 16.925
S 1.963 -0.742 3.482
S 1.963 -0.742 6.721
S 1.963 -3.065 12.053
S 1.963 -3.065 18.557
S 1.963 -3.995 5.102

=====

(8)
! NdDyS, optimized geometry, DFT PBE; values from VASP
! **Calculated volume**: 27.81 Å³ per atom
! **Polymorph energy (0 for the lowest one)**: 0.000 eV per formula unit
! **Density of states at the Fermi level**: 1.11 states/eV/f.u.
&SYSTEM
  ibrav = 0, nat = 3, ntyp = 3
/
ATOMIC_SPECIES
Nd 144.24 Nd.upf
Dy 162.50 Dy.upf
S 32.06 S.upf
CELL_PARAMETERS angstrom
3.855 0.000 0.000
-1.928 3.339 0.000
0.000 0.000 6.482
ATOMIC_POSITIONS angstrom
Nd 0.000 0.000 0.000
Dy 0.000 2.226 3.104
S 1.928 1.113 4.701

=====

(9)
! NdDySbS, optimized geometry, DFT PBE; values from VASP
! **Calculated volume**: 27.37 Å³ per atom
! **Density of states at the Fermi level**: 2.08 states/eV/f.u.
&SYSTEM
  ibrav = 0, nat = 12, ntyp = 4
/
ATOMIC_SPECIES
Nd 144.24 Nd.upf
Dy 162.50 Dy.upf
Sb 121.76 Sb.upf
S 32.06 S.upf
CELL_PARAMETERS angstrom
4.120 0.000 0.000
-2.060 3.568 0.000
0.000 0.000 22.336
ATOMIC_POSITIONS angstrom
Nd 0.000 0.000 0.000
Nd 0.000 2.379 14.890
Nd 2.060 1.189 7.445
Dy 0.000 0.000 3.607
Dy 0.000 2.379 18.497
Dy 2.060 1.189 11.052
Sb 0.000 0.000 12.887
Sb 0.000 2.379 5.442
Sb 2.060 1.189 20.333
S 0.000 0.000 16.824
S 0.000 2.379 9.379
S 2.060 1.189 1.934

=====

(10)
! Nd2DyScS4, optimized geometry, DFT PBE; values from VASP
! **Calculated volume**: 21.61 Å³ per atom
! **Density of states at the Fermi level**: 4.06 states/eV/f.u.
&SYSTEM
  ibrav = 0, nat = 8, ntyp = 4
/
ATOMIC_SPECIES
Nd 144.24 Nd.upf
Dy 162.50 Dy.upf
Sc 44.96 Sc.upf
S 32.06 S.upf
CELL_PARAMETERS angstrom
6.756 0.000 0.000
0.000 3.879 0.000
-2.235 0.000 6.595
ATOMIC_POSITIONS angstrom
Nd 0.000 0.000 0.000
Nd 3.378 1.940 0.000
Dy -1.117 1.940 3.298
Sc 2.261 0.000 3.298
S 0.062 0.000 4.808
S 1.184 1.940 1.822
S 3.338 1.940 4.774
S 4.459 0.000 1.787

=====

(11)
! Nd3DySc2S6, optimized geometry, DFT PBE; values from VASP
! **Calculated volume**: 21.29 Å³ per atom
! **Density of states at the Fermi level**: 5.06 states/eV/f.u.
&SYSTEM
  ibrav = 0, nat = 12, ntyp = 4
/
ATOMIC_SPECIES
Nd 144.24 Nd.upf
Dy 162.50 Dy.upf
Sc 44.96 Sc.upf
S 32.06 S.upf
CELL_PARAMETERS angstrom
3.355 -5.829 0.000
3.355 5.829 0.000
-2.250 0.000 6.532
ATOMIC_POSITIONS angstrom
Nd 0.000 0.000 0.000
Nd 3.355 1.904 0.000
Nd 3.355 -1.904 0.000
Dy 2.229 0.000 3.266
Sc 2.229 3.890 3.266
Sc 2.229 -3.890 3.266
S 1.083 1.999 1.796
S -0.076 0.000 4.715
S 1.083 -1.999 1.796
S 3.375 1.999 4.736
S 4.535 0.000 1.817
S 3.375 -1.999 4.736

=====

(12)
! Nd2DyScS6, optimized geometry, DFT PBE; values from VASP
! **Calculated volume**: 25.47 Å³ per atom
! **Density of states at the Fermi level**: 0.00 states/eV/f.u.
&SYSTEM
  ibrav = 0, nat = 10, ntyp = 4
/
ATOMIC_SPECIES
Nd 144.24 Nd.upf
Dy 162.50 Dy.upf
Sc 44.96 Sc.upf
S 32.06 S.upf
CELL_PARAMETERS angstrom
3.481 2.010 6.070
-3.481 2.010 6.070
0.000 -4.019 6.070
ATOMIC_POSITIONS angstrom
Nd 0.000 0.000 0.000
Nd 0.000 0.000 9.072
Dy 0.000 0.000 5.300
Sc 0.000 0.000 14.451
S -1.266 -1.704 7.078
S -2.616 -0.179 10.060
S -0.843 1.948 7.078
S 1.463 -2.176 10.060
S 2.109 -0.244 7.078
S 1.153 2.355 10.060

=====

Uncorrected formation energy list, top to bottom, in eV per atom: -2.010 -2.017 -2.018 -2.040 -2.016 -0.662 -2.014 -1.254 -1.413 -1.963 -1.954 -1.984
Magnetic moment list, top to bottom, in μB per formula unit: 0.00 0.00 0.00 0.00 0.00 0.00 0.00 0.02 0.51 0.00 0.00 0.00